Entry 1:
Compound: CuIrCl6
Source: the Alexandria database
Functional: PBE-GGA
Structure: relaxed

Values from the calculation:
The space group is C2/m (12). As for the formation energy without anion corrections: -3.414 eV/f.u. As for the energy relative to the lowest polymorph listed for this composition: 0.000 eV per atom.

Geometry as POSCAR:
```
CuIrCl6
1.0
6.508 0.684 1.131
2.014 5.482 3.154
0.434 0.151 6.445
Cl Cu Ir
6 1 1
direct
0.703 0.701 0.000
0.244 0.615 0.283
0.756 0.101 0.283
0.297 0.299 0.000
0.244 0.899 0.717
0.756 0.385 0.717
0.000 0.000 0.000
0.500 0.500 0.000
```


Entry 2:
Compound: Zr2FeSe
Source: the Alexandria database
Functional: PBE-GGA
Structure: relaxed

Values from the calculation:
The space group is Pmmm (47). As for the formation energy without anion corrections: -1.550 eV/f.u.

Geometry as POSCAR:
```
Zr2FeSe
1.0
4.416 0.000 0.000
0.000 4.832 0.000
0.000 0.000 3.387
Se Zr Fe
1 2 1
direct
0.000 0.500 0.500
0.500 0.500 0.000
0.000 0.000 0.000
0.500 0.000 0.500
```


Entry 3:
Compound: Sc2Ta2Tl
Source: the Alexandria database
Functional: PBE-GGA
Structure: relaxed

Values from the calculation:
The space group is P4/mbm (127). The value obtained for the calculated formation energy is 0.262 eV per atom. As for the energy relative to the lowest polymorph listed for this composition: 0.000 eV per atom.

Geometry as POSCAR:
```
Sc2Ta2Tl
1.0
-5.222 -1.425 -5.180
2.857 -6.855 -0.995
-2.359 -1.384 2.759
Tl Ta Sc
2 4 4
direct
0.000 0.000 0.000
0.500 0.500 0.000
0.624 0.124 0.000
0.124 0.376 0.000
0.876 0.624 0.000
0.376 0.876 0.000
0.832 0.332 0.500
0.332 0.168 0.500
0.668 0.832 0.500
0.168 0.668 0.500
```


Entry 4:
Compound: MnCuI2
Source: the Alexandria database
Functional: PBE-GGA
Structure: relaxed

Values from the calculation:
The space group is I-42d (122). As for the formation energy without anion corrections: 0.633 eV/f.u. As for the energy relative to the lowest polymorph listed for this composition: 0.000 eV per atom.

Geometry as POSCAR:
```
MnCuI2
1.0
6.260 0.000 0.000
0.000 6.260 0.000
3.130 3.130 5.993
I Mn Cu
4 2 2
direct
0.115 0.625 0.250
0.635 0.125 0.250
0.875 0.885 0.750
0.375 0.365 0.750
0.500 0.500 0.000
0.250 0.750 0.500
0.000 0.000 0.000
0.750 0.250 0.500
```


Entry 5:
Compound: KTi2Se4
Source: the Alexandria database
Functional: PBE-GGA
Structure: relaxed

Values from the calculation:
The space group is Cmcm (63). As for the formation energy without anion corrections: -7.585 eV/f.u. As for the energy relative to the lowest polymorph listed for this composition: 0.140 eV per atom.

Geometry as POSCAR:
```
KTi2Se4
1.0
3.791 0.000 0.000
-1.895 6.419 0.000
0.000 0.000 13.298
Se Ti K
8 4 2
direct
0.911 0.823 0.750
0.089 0.177 0.250
0.764 0.528 0.398
0.500 0.000 0.000
0.236 0.472 0.898
0.236 0.472 0.602
0.764 0.528 0.102
0.500 0.000 0.500
0.870 0.740 0.933
0.130 0.260 0.433
0.130 0.260 0.067
0.870 0.740 0.567
0.609 0.218 0.750
0.391 0.782 0.250
```


Entry 6:
Compound: NaAg4Bi
Source: the Alexandria database
Functional: PBE-GGA
Structure: relaxed

Values from the calculation:
The space group is F-43m (216). The value obtained for the calculated formation energy is -0.075 eV per atom.

Geometry as POSCAR:
```
NaAg4Bi
1.0
-1.124 -3.591 -4.252
1.696 -5.409 0.329
-3.824 -4.136 0.713
Ag Bi Na
4 1 1
direct
0.626 0.626 0.123
0.123 0.626 0.626
0.626 0.123 0.626
0.626 0.626 0.626
0.250 0.250 0.250
0.000 0.000 0.000
```


In the order shown, the computed theoretical density values come out to 3.59; 7.29; 9.99; 5.26; 4.63; 8.51 g/cm3.
In the order shown, the computed size of the total moment values come out to 1.959; 1.757; 0.000; 4.016; 0.695; 0.000 μB/f.u..